# 1
DFT (PBE-GGA) results for a relaxed structure of ThZn4Pt4.

## Properties
- raw total energy (eV/cell) = -84.24
- crystal system = tetragonal

abc: 5.8529 5.8529 9.0477
angles: 90.00 90.00 90.00
Space group P4_2/nmc (No. 137, origin choice 2)
Unique sites:
Th: 0.2500 0.7500 0.2500
Zn: 0.0297 0.2500 0.1725
Pt: 0.0149 0.2500 0.4644

# 2
DFT (PBE-GGA) results for a relaxed structure of ThZn2Pt.

## Properties
- raw total energy (eV/cell) = -71.63
- crystal system = cubic

abc: 6.7329 6.7329 6.7329
angles: 90.00 90.00 90.00
Space group Fm-3m (No. 225)
Unique sites:
Th: 0.0000 0.0000 0.0000
Zn: 0.2500 0.2500 0.2500
Pt: 0.0000 0.0000 0.5000

# 3
DFT (PBE-GGA) results for a relaxed structure of Th3Zn2Pt3.

## Properties
- raw total energy (eV/cell) = -99.76
- crystal system = hexagonal

abc: 8.7705 8.7705 5.7738
angles: 90.00 90.00 120.00
Space group P6_3/mcm (No. 193)
Unique sites:
Th: 0.0000 0.3072 0.2500
Zn: 0.3333 0.6667 0.0000
Pt: 0.0000 0.3580 0.7500

# 4
DFT (PBE-GGA) results for a relaxed structure of ThZrPt6.

## Properties
- raw total energy (eV/cell) = -60.58
- crystal system = tetragonal

abc: 4.1522 4.1522 8.2580
angles: 90.00 90.00 90.00
Space group P4/mmm (No. 123)
Unique sites:
Th: 0.0000 0.0000 0.0000
Zr: 0.0000 0.0000 0.5000
Pt: 0.0000 0.5000 0.2623
Pt: 0.5000 0.5000 0.0000
Pt: 0.5000 0.5000 0.5000

# 5
DFT (PBE-GGA) results for a relaxed structure of ThZr2Pt.

## Properties
- raw total energy (eV/cell) = -32.45
- crystal system = tetragonal

abc: 3.4547 3.4547 7.6783
angles: 90.00 90.00 90.00
Space group P4/mmm (No. 123)
Unique sites:
Th: 0.0000 0.0000 0.0000
Zr: 0.5000 0.5000 0.2916
Pt: 0.0000 0.0000 0.5000

# 6
DFT (PBE-GGA) results for a relaxed structure of Th2ZrPt.

## Properties
- raw total energy (eV/cell) = -31.14
- crystal system = tetragonal

abc: 3.5867 3.5867 8.2141
angles: 90.00 90.00 90.00
Space group P4/mmm (No. 123)
Unique sites:
Th: 0.0000 0.0000 0.2202
Zr: 0.5000 0.5000 0.5000
Pt: 0.5000 0.5000 0.0000

# 7
DFT (PBE-GGA) results for a relaxed structure of ThZr2Pt.

## Properties
- raw total energy (eV/cell) = -94.56
- crystal system = trigonal

abc: 3.4630 3.4630 27.9406
angles: 90.00 90.00 120.00
Space group R-3m (No. 166, hexagonal axes)
Unique sites:
Th: 0.0000 0.0000 0.0000
Zr: 0.0000 0.0000 0.2354
Pt: 0.0000 0.0000 0.5000

# 8
DFT (PBE-GGA) results for a relaxed structure of ThZrPt.

## Properties
- raw total energy (eV/cell) = -23.60
- crystal system = trigonal

abc: 4.5809 4.5809 4.2032
angles: 90.00 90.00 120.00
Space group P3m1 (No. 156)
Unique sites:
Th: 0.0000 0.0000 0.0000
Zr: 0.3333 0.6667 0.5009
Pt: 0.6667 0.3333 0.4940

# 9
DFT (PBE-GGA) results for a relaxed structure of ThZrPt.

## Properties
- raw total energy (eV/cell) = -48.49
- crystal system = tetragonal

abc: 4.2974 4.2974 7.7908
angles: 90.00 90.00 90.00
Space group P4/nmm (No. 129, origin choice 2)
Unique sites:
Th: 0.2500 0.2500 0.1490
Zr: 0.2500 0.7500 0.5000
Pt: 0.2500 0.2500 0.7791

# 10
DFT (PBE-GGA) results for a relaxed structure of ThZrPt.

## Properties
- raw total energy (eV/cell) = -291.26
- crystal system = orthorhombic

abc: 7.9930 13.7306 7.8004
angles: 90.00 90.00 90.00
Space group Ima2 (No. 46)
Unique sites:
Th: 0.2500 0.0051 0.0000
Th: 0.2500 0.2166 0.6256
Th: 0.2500 0.7064 0.1179
Zr: 0.0000 0.0000 0.6532
Zr: 0.0382 0.6180 0.7935
Pt: 0.0008 0.1655 0.9125
Pt: 0.2500 0.0335 0.4190

# 11
DFT (PBE-GGA) results for a relaxed structure of Th2ZrPt.

## Properties
- raw total energy (eV/cell) = -88.11
- crystal system = trigonal

abc: 3.5278 3.5278 31.1255
angles: 90.00 90.00 120.00
Space group R-3m (No. 166, hexagonal axes)
Unique sites:
Th: 0.0000 0.0000 0.0978
Zr: 0.0000 0.0000 0.0000
Pt: 0.0000 0.0000 0.5000

# 12
DFT (PBE-GGA) results for a relaxed structure of TiPt.

## Properties
- raw total energy (eV/cell) = -15.52
- crystal system = cubic

abc: 3.1779 3.1779 3.1779
angles: 90.00 90.00 90.00
Space group Pm-3m (No. 221)
Unique sites:
Ti: 0.0000 0.0000 0.0000
Pt: 0.5000 0.5000 0.5000

# 13
DFT (PBE-GGA) results for a relaxed structure of Ti3Pt.

## Properties
- raw total energy (eV/cell) = -31.79
- crystal system = tetragonal

abc: 4.4143 4.4143 3.2946
angles: 90.00 90.00 90.00
Space group P4/mmm (No. 123)
Unique sites:
Ti: 0.0000 0.0000 0.0000
Ti: 0.0000 0.5000 0.5000
Pt: 0.5000 0.5000 0.0000

# 14
DFT (PBE-GGA) results for a relaxed structure of Ti3Pt.

## Properties
- raw total energy (eV/cell) = -63.33
- crystal system = tetragonal

abc: 3.8114 3.8114 8.9464
angles: 90.00 90.00 90.00
Space group I4/mmm (No. 139)
Unique sites:
Ti: 0.0000 0.0000 0.0000
Ti: 0.0000 0.5000 0.2500
Pt: 0.0000 0.0000 0.5000

# 15
DFT (PBE-GGA) results for a relaxed structure of TiPt.

## Properties
- raw total energy (eV/cell) = -122.52
- crystal system = tetragonal

abc: 8.1459 8.1459 4.1182
angles: 90.00 90.00 90.00
Space group I4/mmm (No. 139)
Unique sites:
Ti: 0.0000 0.3077 0.0000
Pt: 0.1684 0.1684 0.5000

# 16
DFT (PBE-GGA) results for a relaxed structure of Ti4Pt.

## Properties
- raw total energy (eV/cell) = -35.27
- crystal system = cubic

abc: 4.7971 4.7971 4.7971
angles: 90.00 90.00 90.00
Space group Pm-3m (No. 221)
Unique sites:
Ti: 0.0000 0.0000 0.0000
Ti: 0.0000 0.5000 0.5000
Pt: 0.5000 0.5000 0.5000

# 17
DFT (PBE-GGA) results for a relaxed structure of Ti4Pt3.

## Properties
- raw total energy (eV/cell) = -110.44
- crystal system = triclinic

abc: 5.3559 7.1870 7.1874
angles: 114.04 104.44 104.33
Space group P-1 (No. 2)
Unique sites:
Ti: 0.0000 0.0000 0.0000
Ti: 0.0015 0.7292 0.5862
Ti: 0.2713 0.8568 0.2709
Ti: 0.4152 0.4139 0.1432
Ti: 0.5000 0.0000 0.0000
Pt: 0.0670 0.5535 0.8382
Pt: 0.2290 0.1618 0.7155
Pt: 0.4871 0.7157 0.5535

# 18
DFT (PBE-GGA) results for a relaxed structure of TiPt2.

## Properties
- raw total energy (eV/cell) = -44.34
- crystal system = monoclinic

abc: 7.4191 4.6002 2.7783
angles: 90.00 95.44 90.00
Space group C2/m (No. 12)
Unique sites:
Ti: 0.0000 0.0000 0.0000
Pt: 0.1697 0.5000 0.2826

# 19
DFT (PBE-GGA) results for a relaxed structure of Ti4Pt.

## Properties
- raw total energy (eV/cell) = -152.16
- crystal system = tetragonal

abc: 7.6576 7.6576 6.4473
angles: 90.00 90.00 90.00
Space group I4_1/amd (No. 141, origin choice 2)
Unique sites:
Ti: 0.0000 0.0609 0.2377
Pt: 0.0000 0.2500 0.8750

# 20
DFT (PBE-GGA) results for a relaxed structure of TiPt.

## Properties
- raw total energy (eV/cell) = -244.07
- crystal system = orthorhombic

abc: 6.8027 8.0002 10.1998
angles: 90.00 90.00 90.00
Space group Fddd (No. 70, origin choice 2)
Unique sites:
Ti: 0.1250 0.3285 0.1250
Pt: 0.0783 0.3750 0.8750

| no. | formation energy (eV/atom) |
| --- | --- |
| 1 | -0.605 |
| 2 | -0.475 |
| 3 | -0.869 |
| 4 | -1.046 |
| 5 | -0.473 |
| 6 | -0.427 |
| 7 | -0.241 |
| 8 | -0.532 |
| 9 | -0.746 |
| 10 | -0.754 |
| 11 | 0.014 |
| 12 | -0.791 |
| 13 | -0.515 |
| 14 | -0.485 |
| 15 | -0.689 |
| 16 | 0.471 |
| 17 | -0.788 |
| 18 | -0.731 |
| 19 | -0.084 |
| 20 | -0.659 |